# 1
This record from Alexandria via LeMat-Bulk describes an optimized crystal structure of MgIr2N. The functional is PBE.

CIF file:
```
data_MgIr2N
_chemical_formula_sum 'Mg4 Ir8 N4'
_symmetry_space_group_name_H-M 'I -4 2 d'
_symmetry_Int_Tables_number 122
_symmetry_space_group_name_Hall 'I -4 2bw'
_cell_length_a 6.633
_cell_length_b 6.633
_cell_length_c 5.398
_cell_angle_alpha 90.00
_cell_angle_beta 90.00
_cell_angle_gamma 90.00
loop_
_atom_site_label
_atom_site_fract_x
_atom_site_fract_y
_atom_site_fract_z
Mg1 0.000 0.000 0.000
Ir1 0.117 0.250 0.625
N1 0.000 0.000 0.500
```

Results
- N(E_F): 4.97 states/eV per cell
- Volume: 14.84 Å³/atom
- Formation energy (no corrections): 0.16 eV per atom
- Total magnetic moment: 0.0 Bohr magnetons per cell

=====

# 2
This record from Alexandria via LeMat-Bulk describes an optimized crystal structure of Mg2IrN3. The functional is PBE.

CIF file:
```
data_Mg2IrN3
_chemical_formula_sum 'Mg8 Ir4 N12'
_symmetry_space_group_name_H-M 'C m c 21'
_symmetry_Int_Tables_number 36
_cell_length_a 10.795
_cell_length_b 6.294
_cell_length_c 4.411
_cell_angle_alpha 90.00
_cell_angle_beta 90.00
_cell_angle_gamma 90.00
loop_
_symmetry_equiv_pos_as_xyz
'x,y,z'
'-x,-y,z+1/2'
'-x,y,z'
'x,-y,z+1/2'
'x+1/2,y+1/2,z'
'-x+1/2,-y+1/2,z+1/2'
'-x+1/2,y+1/2,z'
'x+1/2,-y+1/2,z+1/2'
loop_
_atom_site_label
_atom_site_fract_x
_atom_site_fract_y
_atom_site_fract_z
Mg1 0.169 0.165 0.000
Ir1 0.000 0.323 0.491
N1 0.000 0.373 0.036
N2 0.157 0.174 0.503
```

Results
- N(E_F): 3.50 states/eV per cell
- Volume: 12.49 Å³/atom
- Formation energy (no corrections): -0.09 eV per atom
- Total magnetic moment: 0.0 Bohr magnetons per cell

=====

# 3
This record from Alexandria via LeMat-Bulk describes an optimized crystal structure of MgIrN2. The functional is PBE.

CIF file:
```
data_MgIrN2
_chemical_formula_sum 'Mg3 Ir3 N6'
_symmetry_space_group_name_H-M 'R -3 m'
_symmetry_Int_Tables_number 166
_symmetry_space_group_name_Hall '-R 3 2"'
_cell_length_a 3.1804
_cell_length_b 3.1804
_cell_length_c 18.0647
_cell_angle_alpha 90.00
_cell_angle_beta 90.00
_cell_angle_gamma 120.00
loop_
_atom_site_label
_atom_site_fract_x
_atom_site_fract_y
_atom_site_fract_z
Mg1 0.0000 0.0000 0.0000
Ir1 0.0000 0.0000 0.5000
N1 0.0000 0.0000 0.1127
```

Results
- N(E_F): 8.86 states/eV per cell
- Volume: 13.19 Å³/atom
- Formation energy (no corrections): 0.51 eV per atom
- Total magnetic moment: 0.0 Bohr magnetons per cell

=====

# 4
This record from Alexandria via LeMat-Bulk describes an optimized crystal structure of MgIrN2. The functional is PBE.

CIF file:
```
data_MgIrN2
_chemical_formula_sum 'Mg4 Ir4 N8'
_symmetry_space_group_name_H-M 'I -4 2 d'
_symmetry_Int_Tables_number 122
_symmetry_space_group_name_Hall 'I -4 2bw'
_cell_length_a 4.487
_cell_length_b 4.487
_cell_length_c 10.200
_cell_angle_alpha 90.00
_cell_angle_beta 90.00
_cell_angle_gamma 90.00
loop_
_atom_site_label
_atom_site_fract_x
_atom_site_fract_y
_atom_site_fract_z
Mg1 0.000 0.000 0.000
Ir1 0.000 0.000 0.500
N1 0.221 0.250 0.625
```

Results
- N(E_F): 6.37 states/eV per cell
- Volume: 12.83 Å³/atom
- Formation energy (no corrections): 0.13 eV per atom
- Total magnetic moment: 0.0 Bohr magnetons per cell